Compound: Sb2IF15
Source: the Alexandria database
Functional: PBEsol
Structure: optimized geometry

Unit cell a=8.5929 b=9.8841 c=14.5978 alpha=90.00 beta=90.00 gamma=112.64
Closest atoms and distances in Å follow each position.
Fractional coordinates of all 72 atoms:
Sb 0.2031 0.3584 0.4564  6 F 1.87-2.05
Sb 0.7969 0.1416 0.9564  6 F 1.87-2.05
Sb 0.7969 0.6416 0.5436  6 F 1.87-2.05
Sb 0.2031 0.8584 0.0436  6 F 1.87-2.05
Sb 0.9049 0.3841 0.2548  6 F 1.86-2.06
Sb 0.0951 0.1159 0.7548  6 F 1.86-2.06
Sb 0.0951 0.6159 0.7452  6 F 1.86-2.06
Sb 0.9049 0.8841 0.2452  6 F 1.86-2.06
I 0.2978 0.2998 0.1091  4 F 1.84-1.89
I 0.7022 0.2002 0.6091  4 F 1.84-1.89
I 0.7022 0.7002 0.8909  4 F 1.84-1.89
I 0.2978 0.7998 0.3909  4 F 1.84-1.89
F 0.3383 0.4081 0.3513  1 Sb 1.87
F 0.6617 0.0919 0.8513  1 Sb 1.87
F 0.6617 0.5919 0.6487  1 Sb 1.87
F 0.3383 0.9081 0.1487  1 Sb 1.87
F 0.1527 0.1580 0.4439  1 Sb 1.87
F 0.8473 0.3420 0.9439  1 Sb 1.87
F 0.8473 0.8420 0.5561  1 Sb 1.87
F 0.1527 0.6580 0.0561  1 Sb 1.87
F 0.2209 0.5630 0.4577  1 Sb 1.97
F 0.7791 0.9370 0.9577  1 Sb 1.97
F 0.7791 0.4370 0.5423  1 Sb 1.97
F 0.2209 0.0630 0.0423  1 Sb 1.97
F 0.2563 0.9000 0.4927  1 I 1.89
F 0.7437 0.6000 0.9927  1 I 1.89
F 0.7437 0.1000 0.5073  1 I 1.89
F 0.2563 0.4000 0.0073  1 I 1.89
F 0.4812 0.8110 0.4598  1 I 1.84
F 0.5188 0.6890 0.9598  1 I 1.84
F 0.5188 0.1890 0.5402  1 I 1.84
F 0.4812 0.3110 0.0402  1 I 1.84
F 0.4198 0.9845 0.3466  1 I 1.84
F 0.5802 0.5155 0.8466  1 I 1.84
F 0.5802 0.0155 0.6534  1 I 1.84
F 0.4198 0.4845 0.1534  1 I 1.84
F 0.4073 0.7382 0.2968  1 I 1.89
F 0.5927 0.7618 0.7968  1 I 1.89
F 0.5927 0.2618 0.7032  1 I 1.89
F 0.4073 0.2382 0.2032  1 I 1.89
F 0.7426 0.8980 0.1643  1 Sb 1.87
F 0.2574 0.6020 0.6643  1 Sb 1.87
F 0.2574 0.1020 0.8357  1 Sb 1.87
F 0.7426 0.3980 0.3357  1 Sb 1.87
F 0.8279 0.9377 0.3532  1 Sb 1.86
F 0.1721 0.5623 0.8532  1 Sb 1.86
F 0.1721 0.0623 0.6468  1 Sb 1.86
F 0.8279 0.4377 0.1468  1 Sb 1.86
F 0.0994 0.8686 0.3074  1 Sb 1.96
F 0.9006 0.6314 0.8074  1 Sb 1.96
F 0.9006 0.1314 0.6926  1 Sb 1.96
F 0.0994 0.3686 0.1926  1 Sb 1.96
F 0.0605 0.0763 0.2164  1 Sb 1.90
F 0.9395 0.4237 0.7164  1 Sb 1.90
F 0.9395 0.9237 0.7836  1 Sb 1.90
F 0.0605 0.5763 0.2836  1 Sb 1.90
F 0.7897 0.6817 0.2599  1 Sb 1.87
F 0.2103 0.8183 0.7599  1 Sb 1.87
F 0.2103 0.3183 0.7401  1 Sb 1.87
F 0.7897 0.1817 0.2401  1 Sb 1.87
F 0.0048 0.8254 0.1308  2 Sb 2.05-2.06
F 0.9952 0.6746 0.6308  2 Sb 2.05-2.06
F 0.9952 0.1746 0.8692  2 Sb 2.05-2.06
F 0.0048 0.3254 0.3692  2 Sb 2.05-2.06
F 0.0353 0.8296 0.9526  1 Sb 1.90
F 0.9647 0.6704 0.4526  1 Sb 1.90
F 0.9647 0.1704 0.0474  1 Sb 1.90
F 0.0353 0.3296 0.5474  1 Sb 1.90
F 0.3722 0.8959 0.9556  1 Sb 1.87
F 0.6278 0.6041 0.4556  1 Sb 1.87
F 0.6278 0.1041 0.0444  1 Sb 1.87
F 0.3722 0.3959 0.5444  1 Sb 1.87

Summary:
**SG**: P2_1/c (14)
**Uncorrected formation energy**: -2054 meV per atom

---

Compound: ZnH18Ru2Br7N6
Source: the Alexandria database
Functional: PBEsol
Structure: optimized geometry

Unit cell a=8.9997 b=10.1378 c=10.0298 alpha=90.00 beta=90.00 gamma=94.96
Closest atoms and distances in Å follow each position.
Fractional coordinates of all 68 atoms:
Zn 0.7428 0.5090 0.7500  4 Br 2.39-2.43
Zn 0.2572 0.4910 0.2500  4 Br 2.39-2.43
H 0.4172 0.1045 0.0913  1 N 1.03
H 0.5828 0.8955 0.5913  1 N 1.03
H 0.5828 0.8955 0.9087  1 N 1.03
H 0.4172 0.1045 0.4087  1 N 1.03
H 0.5667 0.1723 0.0130  1 N 1.03
H 0.4333 0.8277 0.5130  1 N 1.03
H 0.4333 0.8277 0.9870  1 N 1.03
H 0.5667 0.1723 0.4870  1 N 1.03
H 0.4894 0.2557 0.1330  1 N 1.04
H 0.5106 0.7443 0.6330  1 N 1.04
H 0.5106 0.7443 0.8670  1 N 1.04
H 0.4894 0.2557 0.3670  1 N 1.04
H 0.7689 0.3244 0.1666  1 N 1.03
H 0.2311 0.6756 0.6666  1 N 1.03
H 0.2311 0.6756 0.8334  1 N 1.03
H 0.7689 0.3244 0.3334  1 N 1.03
H 0.8964 0.2499 0.2500  1 N 1.04
H 0.1036 0.7501 0.7500  1 N 1.04
H 0.0815 0.7752 0.2500  1 N 1.04
H 0.9185 0.2248 0.7500  1 N 1.04
H 0.0736 0.9158 0.1671  1 N 1.03
H 0.9264 0.0842 0.6671  1 N 1.03
H 0.9264 0.0842 0.8329  1 N 1.03
H 0.0736 0.9158 0.3329  1 N 1.03
H 0.8941 0.6522 0.1048  1 N 1.04
H 0.1059 0.3478 0.6048  1 N 1.04
H 0.1059 0.3478 0.8952  1 N 1.04
H 0.8941 0.6522 0.3952  1 N 1.04
H 0.7917 0.7394 0.0101  1 N 1.04
H 0.2083 0.2606 0.5101  1 N 1.04
H 0.2083 0.2606 0.9899  1 N 1.04
H 0.7917 0.7394 0.4899  1 N 1.04
H 0.7091 0.6323 0.1190  1 N 1.04
H 0.2909 0.3677 0.6190  1 N 1.04
H 0.2909 0.3677 0.8810  1 N 1.04
H 0.7091 0.6323 0.3810  1 N 1.04
Ru 0.6531 0.0884 0.2500  3 N 2.08
Ru 0.3469 0.9116 0.7500  3 N 2.08
Ru 0.8014 0.8503 0.2500  3 N 2.08
Ru 0.1986 0.1497 0.7500  3 N 2.08
Br 0.5185 0.8582 0.2500  2 Ru 2.53-2.55, 2 H 2.76
Br 0.4815 0.1418 0.7500  2 Ru 2.53-2.55, 2 H 2.76
Br 0.8128 0.0167 0.4371  2 Ru 2.51-2.52, 2 H 2.59-2.78
Br 0.1872 0.9833 0.9371  2 Ru 2.51-2.52, 2 H 2.59-2.78
Br 0.1872 0.9833 0.5629  2 Ru 2.51-2.52, 2 H 2.59-2.78
Br 0.8128 0.0167 0.0629  2 Ru 2.51-2.52, 2 H 2.59-2.78
Br 0.4758 0.5192 0.7500  1 Zn 2.41, 4 H 2.53-2.56
Br 0.5242 0.4808 0.2500  1 Zn 2.41, 4 H 2.53-2.56
Br 0.8288 0.7427 0.7500  1 Zn 2.43, 3 H 2.47-2.63
Br 0.1712 0.2573 0.2500  1 Zn 2.43, 3 H 2.47-2.63
Br 0.8266 0.3909 0.9375  1 Zn 2.39, 2 H 2.44-2.62
Br 0.1734 0.6091 0.4375  1 Zn 2.39, 2 H 2.44-2.62
Br 0.1734 0.6091 0.0625  1 Zn 2.39, 2 H 2.44-2.62
Br 0.8266 0.3909 0.5625  1 Zn 2.39, 2 H 2.44-2.62
N 0.5163 0.1621 0.1055  3 H 1.03-1.04
N 0.4837 0.8379 0.6055  3 H 1.03-1.04
N 0.4837 0.8379 0.8945  3 H 1.03-1.04
N 0.5163 0.1621 0.3945  3 H 1.03-1.04
N 0.7846 0.2673 0.2500  3 H 1.03-1.04
N 0.2154 0.7327 0.7500  3 H 1.03-1.04
N 0.0330 0.8643 0.2500  3 H 1.03-1.04
N 0.9670 0.1357 0.7500  3 H 1.03-1.04
N 0.7985 0.7025 0.1059  3 H 1.04
N 0.2015 0.2975 0.6059  3 H 1.04
N 0.2015 0.2975 0.8941  3 H 1.04
N 0.7985 0.7025 0.3941  3 H 1.04

Summary:
**Uncorrected energy**: -325.730 eV/cell
**SG**: P2_1/m (11)

---

Compound: NdP2Pt2
Source: the Alexandria database
Functional: PBEsol
Structure: optimized geometry

Unit cell a=4.2387 b=4.2387 c=10.0224 alpha=102.21 beta=102.21 gamma=90.00
Closest atoms and distances in Å follow each position.
Fractional coordinates of all 10 atoms:
Nd 0.6254 0.6254 0.2509  8 P 3.18-3.19, 9 Pt 3.20-3.48
Nd 0.3746 0.3746 0.7491  8 P 3.18-3.19, 9 Pt 3.20-3.48
P 0.9303 0.9303 0.8605  5 Pt 2.35-2.50
P 0.0697 0.0697 0.1395  5 Pt 2.35-2.50
P 0.2500 0.7500 0.5000  4 Pt 2.39
P 0.7500 0.2500 0.5000  4 Pt 2.39
Pt 0.8074 0.8074 0.6147  5 P 2.35-2.39
Pt 0.1926 0.1926 0.3853  5 P 2.35-2.39
Pt 0.5000 0.0000 0.0000  4 P 2.50
Pt 0.0000 0.5000 0.0000  4 P 2.50

Summary:
**ΔE_f**: -1.0374 eV per atom
**SG**: I4/mmm (139)

---

Compound: Y2AlIn
Source: the Alexandria database
Functional: PBEsol
Structure: optimized geometry

Unit cell a=3.4835 b=5.2751 c=5.2751 alpha=97.53 beta=90.00 gamma=90.00
Closest atoms and distances in Å follow each position.
Fractional coordinates of all 4 atoms:
Y 0.0000 0.0000 0.5000  4 Al 3.16, 4 In 3.16, 4 Y 3.48
Y 0.0000 0.5000 0.0000  4 In 3.16, 4 Al 3.16, 4 Y 3.48
Al 0.5000 0.0000 0.0000  8 Y 3.16, 2 In 3.48, 2 Al 3.48
In 0.5000 0.5000 0.5000  8 Y 3.16, 2 Al 3.48, 2 In 3.48

Summary:
**ΔE_f**: -0.4738 eV per atom
**SG**: Cmmm (65)

---

Compound: NiB2Mo2
Source: the Alexandria database
Functional: PBEsol
Structure: optimized geometry

Unit cell a=3.1663 b=4.4741 c=4.4741 alpha=60.69 beta=69.28 gamma=69.28
Closest atoms and distances in Å follow each position.
Fractional coordinates of all 5 atoms:
Ni 0.0000 0.0000 0.0000  4 B 2.08
Mo 0.8001 0.6999 0.6999  6 B 2.31-2.50
Mo 0.1999 0.3001 0.3001  6 B 2.31-2.50
B 0.5000 0.7032 0.2968  1 B 1.84
B 0.5000 0.2968 0.7032  1 B 1.84

Summary:
**ΔE_f**: -0.5579 eV per atom
**SG**: Immm (71)
**ΔE to the lowest computed polymorph**: 0 kJ/mol of formula units

---

Compound: AgPt2Au
Source: the Alexandria database
Functional: PBEsol
Structure: optimized geometry

Unit cell a=2.7833 b=2.7833 c=8.1358 alpha=90.00 beta=90.00 gamma=90.00
Closest atoms and distances in Å follow each position.
Fractional coordinates of all 4 atoms:
Au 0.5000 0.5000 0.7540  4 Au 2.78, 4 Pt 2.85, 4 Ag 2.88
Pt 0.0000 0.0000 0.0070  8 Pt 2.76-2.78, 4 Au 2.85
Pt 0.5000 0.5000 0.2440  8 Pt 2.76-2.78, 4 Ag 2.84
Ag 0.0000 0.0000 0.4949  4 Ag 2.78, 4 Pt 2.84, 4 Au 2.88

Summary:
**ΔE_f**: 0.0109 eV per atom
**SG**: P4mm (99)
**ΔE to the lowest computed polymorph**: 7 kJ/mol of formula units